Material: Be2InSe
Method: DFT, PBE
State: relaxed

a = 3.452 Å, b = 3.545 Å, c = 5.935 Å
α = 90.00°, β = 90.00°, γ = 90.00°
Space group Pmmm (No. 47)
One atom of each set of equivalent atoms:
Be  0.000  0.000  0.000 x1
Be  0.500  0.000  0.500 x1
In  0.000  0.500  0.500 x1
Se  0.500  0.500  0.000 x1

Computed properties:
DOS(E_F) in states/eV per cell: 1.19
Energy relative to the lowest polymorph listed for this composition in meV/atom: 360
Calculated volume in Å³ per atom: 18.2


Material: LiMg7In4
Method: DFT, PBE
State: relaxed

a = 13.337 Å, b = 5.231 Å, c = 10.875 Å
α = 90.00°, β = 127.20°, γ = 90.00°
Space group C2/m (No. 12)
One atom of each set of equivalent atoms:
Li  0.000  0.000  0.000 x2
Mg  0.000  0.500  0.000 x2
Mg  0.070  0.000  0.425 x4
Mg  0.167  0.500  0.884 x4
Mg  0.241  0.500  0.660 x4
In  0.116  0.500  0.324 x4
In  0.211  0.000  0.780 x4

Computed properties:
DOS(E_F) in states/eV per cell: 9.10
Energy relative to the elements in eV per atom: 0.0312
Calculated volume in Å³ per atom: 25.2


Material: Y5Ni2Ge
Method: DFT, PBE
State: relaxed

a = 7.584 Å, b = 7.584 Å, c = 13.083 Å
α = 90.00°, β = 90.00°, γ = 90.00°
Space group I4/mcm (No. 140)
One atom of each set of equivalent atoms:
Y  0.000  0.000  0.000 x4
Y  0.161  0.339  0.142 x16
Ni  0.126  0.374  0.500 x8
Ge  0.000  0.000  0.250 x4

Computed properties:
DOS(E_F) in states/eV per cell: 31.92
Energy relative to the elements in eV per atom: -0.4661
Calculated volume in Å³ per atom: 23.5